Record 1
AsAu: relaxed, PBE.

Unit cell a=7.978 b=7.978 c=7.978 alpha=90.00 beta=90.00 gamma=90.00
Sites, in units of the cell vectors:
As1 0.852 0.852 0.148
As2 0.648 0.352 0.352
As3 0.352 0.352 0.648
As4 0.852 0.148 0.852
As5 0.148 0.148 0.148
As6 0.352 0.648 0.352
As7 0.148 0.852 0.852
As8 0.648 0.648 0.648
Au1 0.177 0.823 0.177
Au2 0.677 0.323 0.677
Au3 0.177 0.177 0.823
Au4 0.823 0.823 0.823
Au5 0.323 0.677 0.677
Au6 0.823 0.177 0.177
Au7 0.677 0.677 0.323
Au8 0.323 0.323 0.323

Properties
The value obtained for the density is 7.1 Mg/m³. Its density of states at the Fermi level is 13.984 states/eV per cell. The calculated formation energy comes out at 0.63 eV/f.u. As for the total energy: -58.36 eV for the cell shown. The symmetry is No. 217.


Record 2
AsAu4: relaxed, PBE.

Unit cell a=5.221 b=5.221 c=5.221 alpha=109.47 beta=109.47 gamma=109.47
Sites, in units of the cell vectors:
Au1 0.500 0.000 0.000
Au2 0.500 0.500 0.500
Au3 0.000 0.000 0.500
Au4 0.000 0.500 0.000
As1 0.000 0.000 0.000

Properties
The value obtained for the density is 13.1 Mg/m³. For the energy relative to the lowest polymorph listed for this composition, the calculation gives 0.0973 eV per atom. Its density of states at the Fermi level is 1.353 states/eV per cell. The calculated formation energy comes out at 1.04 eV/f.u. As for the total energy: -16.71 eV for the cell shown. The symmetry is No. 229.


Record 3
AsAu: relaxed, PBE.

Unit cell a=10.427 b=3.967 c=6.307 alpha=90.00 beta=90.00 gamma=90.00
Sites, in units of the cell vectors:
Au1 0.500 0.500 0.366
Au2 0.850 0.000 0.232
Au3 0.000 0.000 0.866
Au4 0.150 0.000 0.232
Au5 0.350 0.500 0.732
Au6 0.650 0.500 0.732
As1 0.799 0.000 0.644
As2 0.201 0.000 0.644
As3 0.701 0.500 0.144
As4 0.299 0.500 0.144
As5 0.500 0.000 0.883
As6 0.000 0.500 0.383

Properties
The value obtained for the density is 10.4 Mg/m³. Its density of states at the Fermi level is 4.689 states/eV per cell. The calculated formation energy comes out at 0.28 eV/f.u. As for the total energy: -45.87 eV for the cell shown. The symmetry is No. 44.


Record 4
AsAu4: relaxed, PBE.

Unit cell a=4.876 b=4.876 c=4.876 alpha=90.00 beta=90.00 gamma=90.00
Sites, in units of the cell vectors:
Au1 0.500 0.500 0.000
Au2 0.000 0.000 0.000
Au3 0.000 0.500 0.500
Au4 0.500 0.000 0.500
As1 0.500 0.500 0.500

Properties
The value obtained for the density is 12.4 Mg/m³. For the energy relative to the lowest polymorph listed for this composition, the calculation gives 0.3812 eV per atom. Its density of states at the Fermi level is 1.079 states/eV per cell. The calculated formation energy comes out at 2.46 eV/f.u. As for the total energy: -15.29 eV for the cell shown. The symmetry is No. 221.


Record 5
As5Au: relaxed, PBE.

Unit cell a=5.560 b=5.560 c=5.560 alpha=60.00 beta=60.00 gamma=60.00
Sites, in units of the cell vectors:
As1 0.626 0.626 0.122
As2 0.122 0.626 0.626
As3 0.250 0.250 0.250
As4 0.626 0.122 0.626
As5 0.626 0.626 0.626
Au1 0.000 0.000 0.000

Properties
The value obtained for the density is 7.8 Mg/m³. For the energy relative to the lowest polymorph listed for this composition, the calculation gives 0.3585 eV per atom. Its density of states at the Fermi level is 3.105 states/eV per cell. The calculated formation energy comes out at 3.64 eV/f.u. As for the total energy: -22.89 eV for the cell shown. The symmetry is No. 216.


Record 6
AsAu: relaxed, PBE.

Unit cell a=6.902 b=6.902 c=6.902 alpha=153.55 beta=146.28 gamma=43.36
Sites, in units of the cell vectors:
As1 0.784 0.284 0.500
As2 0.966 0.966 0.000
Au1 0.541 0.541 0.000
Au2 0.209 0.709 0.500

Properties
The value obtained for the density is 11.1 Mg/m³. Its density of states at the Fermi level is 1.602 states/eV per cell. The calculated formation energy comes out at 0.39 eV/f.u. As for the total energy: -15.08 eV for the cell shown. The symmetry is No. 74.


Record 7
As3Au: relaxed, PBE.

Unit cell a=4.910 b=4.910 c=4.376 alpha=116.12 beta=116.12 gamma=95.03
Sites, in units of the cell vectors:
As1 0.790 0.210 0.500
As2 0.210 0.790 0.500
As3 0.500 0.500 0.000
Au1 0.000 0.000 0.000

Properties
The value obtained for the density is 8.8 Mg/m³. For the energy relative to the lowest polymorph listed for this composition, the calculation gives 0.3259 eV per atom. Its density of states at the Fermi level is 1.439 states/eV per cell. The calculated formation energy comes out at 1.51 eV/f.u. As for the total energy: -15.72 eV for the cell shown. The symmetry is No. 12.


Record 8
AsAu2: relaxed, PBE.

Unit cell a=4.280 b=4.280 c=3.436 alpha=90.00 beta=90.00 gamma=90.00
Sites, in units of the cell vectors:
Au1 0.000 0.500 0.500
Au2 0.500 0.000 0.500
As1 0.000 0.000 0.000

Properties
The value obtained for the density is 12.4 Mg/m³. Its density of states at the Fermi level is 0.949 states/eV per cell. The calculated formation energy comes out at 0.46 eV/f.u. As for the total energy: -10.75 eV for the cell shown. The symmetry is No. 123.